Density functional theory data (PBE-GGA) for a geometry-optimized LiMnNi2 structure.

Cell lengths 4.4699, 4.4699, 4.4699 Å; angles 133.26, 133.26, 68.25 degrees
Closest atoms and distances in Å follow each position.
Atoms (fractional coordinates):
Li: 0.0000 0.0000 0.0000  8 Ni 2.51-2.56, 4 Mn 2.56
Mn: 0.2500 0.7500 0.5000  8 Ni 2.51-2.56, 4 Li 2.56
Ni: 0.5000 0.5000 0.0000  4 Li 2.51, 4 Mn 2.56, 4 Ni 2.56
Ni: 0.7500 0.2500 0.5000  4 Mn 2.51, 4 Li 2.56, 4 Ni 2.56

Summary:
As for the space group: I-4m2. Its calculated density is 6.397 g/cm³. The formation energy comes out at 46 meV/atom. Its total magnetic moment is 4.0 μB/cell.

Density functional theory data (PBE-GGA) for a geometry-optimized Pr2Ho7Tl2 structure.

Cell lengths 11.1653, 11.1653, 11.1653 Å; angles 161.06, 55.38, 128.48 degrees
Closest atoms and distances in Å follow each position.
Atoms (fractional coordinates):
Pr: 0.0000 0.0000 0.0000  8 Ho 3.53-3.60, 4 Pr 3.67-3.78
Pr: 0.6593 0.1593 0.5000  7 Ho 3.18-3.51
Ho: 0.3119 0.1494 0.1625  3 Tl 3.19-3.36, 1 Pr 3.53
Ho: 0.3160 0.8160 0.5000  3 Pr 3.33-3.57, 2 Ho 3.67
Ho: 0.3820 0.5157 0.8664  2 Tl 3.19, 2 Pr 3.51
Ho: 0.6493 0.5157 0.1336  2 Tl 3.19, 2 Pr 3.51
Ho: 0.7032 0.3380 0.3652  2 Tl 3.06, 1 Pr 3.18
Ho: 0.9728 0.3380 0.6348  2 Tl 3.06, 1 Pr 3.18
Ho: 0.9869 0.1494 0.8375  3 Tl 3.19-3.36, 1 Pr 3.53
Tl: 0.1210 0.8630 0.2579  7 Ho 3.06-3.36
Tl: 0.6051 0.8630 0.7421  7 Ho 3.06-3.36

Summary:
As for the space group: Imm2. Its calculated density is 8.692 g/cm³. The formation energy comes out at -10 meV/atom. Its total magnetic moment is 0.0 μB/cell.

Density functional theory data (PBE-GGA) for a geometry-optimized CaBeZnSn2 structure.

Cell lengths 5.0802, 5.0802, 4.4968 Å; angles 90.00, 90.00, 90.00 degrees
Closest atoms and distances in Å follow each position.
Atoms (fractional coordinates):
Ca: 0.0000 0.0000 0.0000  8 Sn 3.39, 4 Zn 3.59
Be: 0.5000 0.5000 0.5000  2 Zn 2.25
Zn: 0.5000 0.5000 0.0000  2 Be 2.25
Sn: 0.0000 0.5000 0.5000  2 Be 2.54
Sn: 0.5000 0.0000 0.5000  2 Be 2.54

Summary:
As for the space group: P4/mmm. Its calculated density is 5.035 g/cm³. The formation energy comes out at 35 meV/atom. Its total magnetic moment is 0.0 μB/cell.

Density functional theory data (PBE-GGA) for a geometry-optimized TaSb3O structure.

Cell lengths 5.2571, 5.2571, 5.2571 Å; angles 90.00, 90.00, 90.00 degrees
Closest atoms and distances in Å follow each position.
Atoms (fractional coordinates):
Ta: 0.0000 0.0000 0.0000  6 Sb 2.63
Sb: 0.0000 0.0000 0.5000  2 Ta 2.63
Sb: 0.0000 0.5000 0.0000  2 Ta 2.63
Sb: 0.5000 0.0000 0.0000  2 Ta 2.63
O: 0.5000 0.5000 0.5000  12 Sb 3.72

Summary:
As for the space group: Pm-3m. Its calculated density is 6.426 g/cm³. The uncorrected formation energy comes out at 0.723 eV per atom. Its total magnetic moment is 0.0 μB/cell. For the distance to the lowest polymorph of the same formula, the calculation gives 484.7 meV per atom.

Density functional theory data (PBE-GGA) for a geometry-optimized Pr3AlSb2Pd9 structure.

Cell lengths 6.8429, 6.8429, 8.7780 Å; angles 90.00, 90.00, 120.00 degrees
Closest atoms and distances in Å follow each position.
Atoms (fractional coordinates):
Pr: 0.0000 0.0000 0.0000  6 Pd 2.95
Pr: 0.3333 0.6667 0.7197  9 Pd 3.16-3.45
Pr: 0.6667 0.3333 0.2803  9 Pd 3.16-3.45
Al: 0.0000 0.0000 0.5000  6 Pd 2.45
Sb: 0.3333 0.6667 0.2025  6 Pd 2.49-2.66
Sb: 0.6667 0.3333 0.7975  6 Pd 2.49-2.66
Pd: 0.0000 0.5000 0.0000  2 Sb 2.66
Pd: 0.1324 0.2647 0.2850  1 Al 2.45, 1 Sb 2.49, 2 Pd 2.72
Pd: 0.1324 0.8676 0.2850  1 Al 2.45, 1 Sb 2.49, 2 Pd 2.72
Pd: 0.2647 0.1324 0.7150  1 Al 2.45, 1 Sb 2.49, 2 Pd 2.72
Pd: 0.5000 0.0000 0.0000  2 Sb 2.66
Pd: 0.5000 0.5000 0.0000  2 Sb 2.66
Pd: 0.7353 0.8676 0.2850  1 Al 2.45, 1 Sb 2.49, 2 Pd 2.72
Pd: 0.8676 0.1324 0.7150  1 Al 2.45, 1 Sb 2.49, 2 Pd 2.72
Pd: 0.8676 0.7353 0.7150  1 Al 2.45, 1 Sb 2.49, 2 Pd 2.72

Summary:
As for the space group: P-3m1. Its calculated density is 7.702 g/cm³. The uncorrected formation energy comes out at -0.516 eV per atom. Its total magnetic moment is 0.0 μB/cell.

Density functional theory data (PBE-GGA) for a geometry-optimized AlTeSe2 structure.

Cell lengths 8.1710, 8.1710, 8.1710 Å; angles 152.59, 152.59, 39.16 degrees
Closest atoms and distances in Å follow each position.
Atoms (fractional coordinates):
Al: 0.0000 0.0000 0.0000  4 Se 2.74
Te: 0.7500 0.2500 0.5000  4 Se 2.74
Se: 0.2500 0.7500 0.5000  4 Te 2.74
Se: 0.5000 0.5000 0.0000  4 Al 2.74

Summary:
As for the space group: I-4m2. Its calculated density is 4.496 g/cm³. The uncorrected formation energy comes out at 0.031 eV per atom. Its total magnetic moment is 0.0 μB/cell. For the distance to the lowest polymorph of the same formula, the calculation gives 475.6 meV per atom.

Density functional theory data (PBE-GGA) for a geometry-optimized CePrNi structure.

Cell lengths 3.8129, 3.8129, 6.4704 Å; angles 90.00, 90.00, 120.00 degrees
Closest atoms and distances in Å follow each position.
Atoms (fractional coordinates):
Ce: 0.0000 0.0000 0.0000  3 Ni 2.71
Pr: 0.3333 0.6667 0.5285  3 Ni 2.87
Ni: 0.6667 0.3333 0.2430  3 Ce 2.71, 3 Pr 2.87

Summary:
As for the space group: P3m1. Its calculated density is 6.925 g/cm³. The formation energy comes out at -43 meV/atom. Its total magnetic moment is 0.8 μB/cell. For the distance to the lowest polymorph of the same formula, the calculation gives 55.8 meV per atom.

Density functional theory data (PBE-GGA) for a geometry-optimized MgMoSN2 structure.

Cell lengths 3.8773, 3.8773, 5.0826 Å; angles 90.00, 90.00, 90.00 degrees
Closest atoms and distances in Å follow each position.
Atoms (fractional coordinates):
Mg: 0.0000 0.0000 0.0000  4 S 2.74
Mo: 0.5000 0.5000 0.5000  4 N 1.94
S: 0.5000 0.5000 0.0000  2 Mo 2.54, 4 Mg 2.74
N: 0.0000 0.5000 0.5000  2 Mo 1.94
N: 0.5000 0.0000 0.5000  2 Mo 1.94

Summary:
As for the space group: P4/mmm. Its calculated density is 3.919 g/cm³. The uncorrected formation energy comes out at -0.057 eV per atom. Its total magnetic moment is 0.0 μB/cell. For the distance to the lowest polymorph of the same formula, the calculation gives 0.0 meV per atom.

Density functional theory data (PBE-GGA) for a geometry-optimized GaPd2 structure.

Cell lengths 5.5937, 4.0841, 7.8967 Å; angles 90.00, 90.00, 90.00 degrees
Closest atoms and distances in Å follow each position.
Atoms (fractional coordinates):
Ga: 0.2057 0.2500 0.1092  9 Pd 2.57-2.87
Ga: 0.2943 0.7500 0.6092  9 Pd 2.57-2.87
Ga: 0.7057 0.2500 0.3908  9 Pd 2.57-2.87
Ga: 0.7943 0.7500 0.8908  9 Pd 2.57-2.87
Pd: 0.0426 0.2500 0.7925  5 Ga 2.59-2.87, 4 Pd 2.85-2.88
Pd: 0.1639 0.2500 0.4340  4 Ga 2.57-2.59, 2 Pd 2.85
Pd: 0.3361 0.7500 0.9340  4 Ga 2.57-2.59, 2 Pd 2.85
Pd: 0.4574 0.7500 0.2925  5 Ga 2.59-2.87, 4 Pd 2.85-2.88
Pd: 0.5426 0.2500 0.7075  5 Ga 2.59-2.87, 4 Pd 2.85-2.88
Pd: 0.6639 0.2500 0.0660  4 Ga 2.57-2.59, 2 Pd 2.85
Pd: 0.8361 0.7500 0.5660  4 Ga 2.57-2.59, 2 Pd 2.85
Pd: 0.9574 0.7500 0.2075  5 Ga 2.59-2.87, 4 Pd 2.85-2.88

Summary:
As for the space group: Pnma. Its calculated density is 10.404 g/cm³. The formation energy comes out at -633 meV/atom. Its total magnetic moment is 0.0 μB/cell.

Density functional theory data (PBE-GGA) for a geometry-optimized PuTlF2 structure.

Cell lengths 8.8472, 8.8472, 8.8472 Å; angles 23.34, 23.34, 23.34 degrees
Closest atoms and distances in Å follow each position.
Atoms (fractional coordinates):
Pu: 0.0000 0.0000 0.0000  2 F 2.18
Tl: 0.5000 0.5000 0.5000  6 F 2.96
F: 0.0846 0.0846 0.0846  1 Pu 2.18
F: 0.9154 0.9154 0.9154  1 Pu 2.18

Summary:
As for the space group: R-3m. Its calculated density is 8.460 g/cm³. The uncorrected formation energy comes out at -1.840 eV per atom. Its total magnetic moment is 5.6 μB/cell.

Density functional theory data (PBE-GGA) for a geometry-optimized LiSnSbI2 structure.

Cell lengths 6.1859, 6.1859, 5.9164 Å; angles 90.00, 90.00, 90.00 degrees
Closest atoms and distances in Å follow each position.
Atoms (fractional coordinates):
Li: 0.0000 0.0000 0.0000  8 I 4.28, 4 Sb 4.37
Sn: 0.5000 0.5000 0.5000  2 Sb 2.96, 4 I 3.09
Sb: 0.5000 0.5000 0.0000  2 Sn 2.96
I: 0.0000 0.5000 0.5000  2 Sn 3.09
I: 0.5000 0.0000 0.5000  2 Sn 3.09

Summary:
As for the space group: P4/mmm. Its calculated density is 3.676 g/cm³. The uncorrected formation energy comes out at 0.022 eV per atom. Its total magnetic moment is 1.6 μB/cell. For the distance to the lowest polymorph of the same formula, the calculation gives 0.0 meV per atom.

Density functional theory data (PBE-GGA) for a geometry-optimized Zr2CoBi2 structure.

Cell lengths 8.2251, 8.2251, 8.2251 Å; angles 151.13, 151.13, 41.29 degrees
Closest atoms and distances in Å follow each position.
Atoms (fractional coordinates):
Zr: 0.2500 0.7500 0.5000  4 Zr 2.90, 4 Bi 3.10
Zr: 0.7500 0.2500 0.5000  4 Zr 2.90, 4 Bi 3.10
Co: 0.0000 0.0000 0.0000  8 Bi 3.27
Bi: 0.4013 0.4013 0.0000  1 Bi 3.04, 4 Zr 3.10, 4 Co 3.27
Bi: 0.5987 0.5987 0.0000  1 Bi 3.04, 4 Zr 3.10, 4 Co 3.27

Summary:
As for the space group: I4/mmm. Its calculated density is 8.456 g/cm³. The formation energy comes out at 670 meV/atom. Its total magnetic moment is 2.4 μB/cell. For the distance to the lowest polymorph of the same formula, the calculation gives 520.6 meV per atom.